# TbSc2H7

Crystalline TbSc2H7 at its relaxed geometry (PBE, Alexandria via LeMat-Bulk).

Summary:
**Final energy**: -47.11 eV per cell
**Crystal system**: tetragonal
**SG**: I4/mmm (139)
**Total magnetization**: 0.00 μB/f.u.

Lattice parameters (Å, degrees): 7.828 7.828 7.828 154.61 154.61 36.22
Sites, in units of the cell vectors:
Tb: 0.000 0.000 0.000
Sc: 0.329 0.329 0.000
Sc: 0.671 0.671 0.000
H: 0.097 0.597 0.500
H: 0.250 0.750 0.500
H: 0.403 0.903 0.500
H: 0.500 0.500 0.000
H: 0.597 0.097 0.500
H: 0.750 0.250 0.500
H: 0.903 0.403 0.500